Computed, not measured: AsPtW2 at its PBEsol-relaxed geometry at the meta-GGA SCAN level of DFT.

a = 2.8329 Å, b = 4.6286 Å, c = 4.6286 Å
α = 90.00°, β = 90.00°, γ = 90.00°
Fractional coordinates of all 4 atoms:
W (0.0000, 0.5000, 0.0000)
W (0.0000, 0.0000, 0.5000)
As (0.5000, 0.5000, 0.5000)
Pt (0.5000, 0.0000, 0.0000)

Calculated values
- spin magnetization (μB per cell) = 0.00
- space group = P4/mmm, No. 123
- ΔH_f (0 K) (eV per atom) = 0.19